Record 1
The following is a DFT calculation (PBE) of a relaxed LaCdSb3 crystal.

Properties
Formation energy (no corrections) (eV per formula unit): 0.44
Energy above the most stable polymorph in this dataset (meV/atom): 0

Lattice parameters (Å, degrees): 5.487 5.487 5.487 90.00 90.00 90.00
Fractional positions:
La1 0.000 0.000 0.000
Cd1 0.500 0.500 0.500
Sb1 0.000 0.500 0.500
Sb2 0.500 0.000 0.500
Sb3 0.500 0.500 0.000

=====

Record 2
The following is a DFT calculation (PBE) of a relaxed LaCdSb2 crystal.

Properties
Formation energy (no corrections) (eV per formula unit): -1.34

Lattice parameters (Å, degrees): 7.712 7.712 7.712 90.00 90.00 90.00
Fractional positions:
La1 0.000 0.000 0.000
La2 0.000 0.500 0.500
La3 0.500 0.000 0.500
La4 0.500 0.500 0.000
Cd1 0.250 0.250 0.250
Cd2 0.250 0.750 0.750
Cd3 0.750 0.250 0.750
Cd4 0.750 0.750 0.250
Sb1 0.000 0.000 0.500
Sb2 0.000 0.500 0.000
Sb3 0.250 0.250 0.750
Sb4 0.250 0.750 0.250
Sb5 0.500 0.000 0.000
Sb6 0.500 0.500 0.500
Sb7 0.750 0.250 0.250
Sb8 0.750 0.750 0.750

=====

Record 3
The following is a DFT calculation (PBE) of a relaxed LaCdSb2 crystal.

Properties
Formation energy (no corrections) (eV per formula unit): -2.50

Lattice parameters (Å, degrees): 5.017 5.017 4.383 90.00 90.00 90.00
Fractional positions:
La1 0.000 0.000 0.000
Cd1 0.500 0.500 0.000
Sb1 0.000 0.500 0.500
Sb2 0.500 0.000 0.500

=====

Record 4
The following is a DFT calculation (PBE) of a relaxed LaSmCdSb crystal.

Properties
Formation energy (no corrections) (eV per formula unit): -2.44

Lattice parameters (Å, degrees): 7.742 7.742 7.742 90.00 90.00 90.00
Fractional positions:
La1 0.000 0.000 0.000
La2 0.000 0.500 0.500
La3 0.500 0.000 0.500
La4 0.500 0.500 0.000
Sm1 0.000 0.000 0.500
Sm2 0.000 0.500 0.000
Sm3 0.500 0.000 0.000
Sm4 0.500 0.500 0.500
Cd1 0.250 0.250 0.250
Cd2 0.250 0.750 0.750
Cd3 0.750 0.250 0.750
Cd4 0.750 0.750 0.250
Sb1 0.250 0.250 0.750
Sb2 0.250 0.750 0.250
Sb3 0.750 0.250 0.250
Sb4 0.750 0.750 0.750

=====

Record 5
The following is a DFT calculation (PBE) of a relaxed SrLaCd2Sb crystal.

Properties
Formation energy (no corrections) (eV per formula unit): 3.74

Lattice parameters (Å, degrees): 5.674 5.674 6.760 90.00 90.00 90.00
Fractional positions:
Sr1 0.000 0.000 0.000
La1 0.000 0.000 0.500
Cd1 0.000 0.500 0.000
Cd2 0.500 0.000 0.000
Sb1 0.500 0.500 0.500

=====

Record 6
The following is a DFT calculation (PBE) of a relaxed LaCdSb2Te crystal.

Properties
Formation energy (no corrections) (eV per formula unit): 1.50
Energy above the most stable polymorph in this dataset (meV/atom): 320

Lattice parameters (Å, degrees): 6.158 6.158 6.077 90.00 90.00 90.00
Fractional positions:
La1 0.000 0.000 0.000
Cd1 0.500 0.500 0.500
Sb1 0.000 0.500 0.000
Sb2 0.500 0.000 0.000
Te1 0.000 0.000 0.500

=====

Record 7
The following is a DFT calculation (PBE) of a relaxed LaCdSb2Te crystal.

Properties
Formation energy (no corrections) (eV per formula unit): -0.10
Energy above the most stable polymorph in this dataset (meV/atom): 0

Lattice parameters (Å, degrees): 5.462 5.462 5.624 90.00 90.00 90.00
Fractional positions:
La1 0.000 0.000 0.000
Cd1 0.500 0.500 0.500
Sb1 0.000 0.500 0.500
Sb2 0.500 0.000 0.500
Te1 0.500 0.500 0.000

=====

Record 8
The following is a DFT calculation (PBE) of a relaxed LaTl2CdSb2 crystal.

Properties
Formation energy (no corrections) (eV per formula unit): -2.43

Lattice parameters (Å, degrees): 4.683 10.389 7.759 90.00 90.00 90.00
Fractional positions:
La1 0.000 0.082 0.000
La2 0.000 0.918 0.500
Tl1 0.000 0.332 0.327
Tl2 0.000 0.668 0.827
Tl3 0.500 0.458 0.041
Tl4 0.500 0.542 0.541
Cd1 0.500 0.181 0.658
Cd2 0.500 0.819 0.158
Sb1 0.000 0.332 0.749
Sb2 0.000 0.668 0.249
Sb3 0.500 0.084 0.296
Sb4 0.500 0.916 0.796

=====

Record 9
The following is a DFT calculation (PBE) of a relaxed LaZnCdSb2 crystal.

Properties
Formation energy (no corrections) (eV per formula unit): -0.82

Lattice parameters (Å, degrees): 5.374 5.374 4.929 90.00 90.00 90.00
Fractional positions:
La1 0.000 0.000 0.000
Zn1 0.500 0.500 0.500
Cd1 0.500 0.500 0.000
Sb1 0.000 0.500 0.500
Sb2 0.500 0.000 0.500

=====

Record 10
The following is a DFT calculation (PBE) of a relaxed LaScCd2 crystal.

Properties
Energy above the most stable polymorph in this dataset (meV/atom): 92
Calculated formation energy (eV per atom): -0.21

Lattice parameters (Å, degrees): 3.475 4.870 6.518 90.00 105.32 90.00
Fractional positions:
La1 0.000 0.000 0.000
Sc1 0.680 0.500 0.358
Cd1 0.258 0.000 0.514
Cd2 0.393 0.500 0.784

=====

Record 11
The following is a DFT calculation (PBE) of a relaxed La2ScCd crystal.

Properties
Calculated formation energy (eV per atom): -0.01

Lattice parameters (Å, degrees): 3.588 3.588 33.153 90.00 90.00 120.00
Fractional positions:
La1 0.000 0.000 0.000
La2 0.000 0.000 0.167
La3 0.333 0.667 0.667
La4 0.333 0.667 0.833
La5 0.667 0.333 0.333
La6 0.667 0.333 0.500
Sc1 0.000 0.000 0.417
Sc2 0.333 0.667 0.083
Sc3 0.667 0.333 0.750
Cd1 0.000 0.000 0.584
Cd2 0.333 0.667 0.250
Cd3 0.667 0.333 0.917

=====

Record 12
The following is a DFT calculation (PBE) of a relaxed LaScCd2 crystal.

Properties
Energy above the most stable polymorph in this dataset (meV/atom): 271
Calculated formation energy (eV per atom): -0.03

Lattice parameters (Å, degrees): 7.439 7.439 7.439 90.00 90.00 90.00
Fractional positions:
La1 0.000 0.000 0.000
La2 0.000 0.500 0.500
La3 0.500 0.000 0.500
La4 0.500 0.500 0.000
Sc1 0.250 0.250 0.750
Sc2 0.250 0.750 0.250
Sc3 0.750 0.250 0.250
Sc4 0.750 0.750 0.750
Cd1 0.000 0.000 0.500
Cd2 0.000 0.500 0.000
Cd3 0.250 0.250 0.250
Cd4 0.250 0.750 0.750
Cd5 0.500 0.000 0.000
Cd6 0.500 0.500 0.500
Cd7 0.750 0.250 0.750
Cd8 0.750 0.750 0.250

=====

Record 13
The following is a DFT calculation (PBE) of a relaxed LaScCd2 crystal.

Properties
Energy above the most stable polymorph in this dataset (meV/atom): 192
Calculated formation energy (eV per atom): -0.11

Lattice parameters (Å, degrees): 3.504 3.504 30.477 90.00 90.00 120.00
Fractional positions:
La1 0.000 0.000 0.000
La2 0.333 0.667 0.667
La3 0.667 0.333 0.333
Sc1 0.000 0.000 0.500
Sc2 0.333 0.667 0.167
Sc3 0.667 0.333 0.833
Cd1 0.000 0.000 0.242
Cd2 0.000 0.000 0.758
Cd3 0.333 0.667 0.425
Cd4 0.333 0.667 0.908
Cd5 0.667 0.333 0.092
Cd6 0.667 0.333 0.575

=====

Record 14
The following is a DFT calculation (PBE) of a relaxed LaScCd2 crystal.

Properties
Energy above the most stable polymorph in this dataset (meV/atom): 0
Calculated formation energy (eV per atom): -0.30

Lattice parameters (Å, degrees): 3.629 3.629 7.880 90.00 90.00 90.00
Fractional positions:
La1 0.000 0.000 0.000
Sc1 0.000 0.000 0.500
Cd1 0.500 0.500 0.289
Cd2 0.500 0.500 0.711

=====

Record 15
The following is a DFT calculation (PBE) of a relaxed La12ScCd6 crystal.

Properties
Calculated formation energy (eV per atom): -0.14

Lattice parameters (Å, degrees): 8.393 8.393 8.393 88.63 88.63 88.63
Fractional positions:
La1 0.036 0.314 0.936
La2 0.064 0.964 0.686
La3 0.111 0.344 0.451
La4 0.314 0.936 0.036
La5 0.344 0.451 0.111
La6 0.451 0.111 0.344
La7 0.549 0.889 0.656
La8 0.656 0.549 0.889
La9 0.686 0.064 0.964
La10 0.889 0.656 0.549
La11 0.936 0.036 0.314
La12 0.964 0.686 0.064
Sc1 0.500 0.500 0.500
Cd1 0.246 0.746 0.388
Cd2 0.254 0.612 0.754
Cd3 0.388 0.246 0.746
Cd4 0.612 0.754 0.254
Cd5 0.746 0.388 0.246
Cd6 0.754 0.254 0.612

=====

Record 16
The following is a DFT calculation (PBE) of a relaxed La14ScCd crystal.

Properties
Calculated formation energy (eV per atom): -0.02

Lattice parameters (Å, degrees): 10.458 7.284 7.284 90.00 90.00 90.00
Fractional positions:
La1 0.000 0.000 0.000
La2 0.000 0.000 0.499
La3 0.000 0.499 0.000
La4 0.000 0.500 0.500
La5 0.256 0.250 0.749
La6 0.256 0.749 0.250
La7 0.256 0.750 0.750
La8 0.257 0.250 0.250
La9 0.500 0.500 0.998
La10 0.500 0.998 0.500
La11 0.743 0.250 0.250
La12 0.744 0.250 0.749
La13 0.744 0.749 0.250
La14 0.744 0.750 0.750
Sc1 0.500 0.999 0.999
Cd1 0.500 0.499 0.499

=====

Record 17
The following is a DFT calculation (PBE) of a relaxed La4ScCd crystal.

Properties
Energy above the most stable polymorph in this dataset (meV/atom): 505
Calculated formation energy (eV per atom): 0.43

Lattice parameters (Å, degrees): 9.189 9.194 5.599 90.00 90.00 90.00
Fractional positions:
La1 0.000 0.167 0.000
La2 0.000 0.833 0.000
La3 0.176 0.500 0.500
La4 0.324 0.000 0.500
La5 0.500 0.333 0.000
La6 0.500 0.667 0.000
La7 0.676 0.000 0.500
La8 0.824 0.500 0.500
Sc1 0.000 0.000 0.500
Sc2 0.500 0.500 0.500
Cd1 0.000 0.500 0.000
Cd2 0.500 0.000 0.000

=====

Record 18
The following is a DFT calculation (PBE) of a relaxed La2ScCd crystal.

Properties
Calculated formation energy (eV per atom): 0.18

Lattice parameters (Å, degrees): 8.849 8.849 6.314 90.00 90.00 90.00
Fractional positions:
La1 0.240 0.250 0.125
La2 0.250 0.740 0.375
La3 0.250 0.760 0.875
La4 0.260 0.250 0.625
La5 0.740 0.750 0.625
La6 0.750 0.240 0.875
La7 0.750 0.260 0.375
La8 0.760 0.750 0.125
Sc1 0.000 0.000 0.500
Sc2 0.000 0.500 0.750
Sc3 0.500 0.000 0.250
Sc4 0.500 0.500 0.000
Cd1 0.000 0.000 0.000
Cd2 0.000 0.500 0.250
Cd3 0.500 0.000 0.750
Cd4 0.500 0.500 0.500

=====

Record 19
The following is a DFT calculation (PBE) of a relaxed LaScCd17 crystal.

Properties
Calculated formation energy (eV per atom): -0.11

Lattice parameters (Å, degrees): 7.676 7.676 7.676 81.81 81.81 81.81
Fractional positions:
La1 0.000 0.000 0.000
Sc1 0.350 0.350 0.350
Cd1 0.058 0.058 0.449
Cd2 0.058 0.449 0.058
Cd3 0.139 0.693 0.693
Cd4 0.321 0.321 0.782
Cd5 0.321 0.782 0.321
Cd6 0.369 0.664 0.971
Cd7 0.369 0.971 0.664
Cd8 0.449 0.058 0.058
Cd9 0.562 0.562 0.562
Cd10 0.664 0.369 0.971
Cd11 0.664 0.971 0.369
Cd12 0.693 0.139 0.693
Cd13 0.693 0.693 0.139
Cd14 0.757 0.757 0.757
Cd15 0.782 0.321 0.321
Cd16 0.971 0.369 0.664
Cd17 0.971 0.664 0.369

=====

Record 20
The following is a DFT calculation (PBE) of a relaxed La5Sc4Cd4 crystal.

Properties
Calculated formation energy (eV per atom): -0.13

Lattice parameters (Å, degrees): 9.114 9.114 9.114 94.38 94.38 147.90
Fractional positions:
La1 0.000 0.000 0.000
La2 0.308 0.622 0.929
La3 0.378 0.308 0.686
La4 0.622 0.692 0.314
La5 0.692 0.378 0.071
Sc1 0.096 0.419 0.515
Sc2 0.419 0.904 0.323
Sc3 0.581 0.096 0.677
Sc4 0.904 0.581 0.485
Cd1 0.074 0.745 0.818
Cd2 0.255 0.074 0.329
Cd3 0.745 0.926 0.671
Cd4 0.926 0.255 0.182

=====

Record 21
The following is a DFT calculation (PBE) of a relaxed La2ScCd6 crystal.

Properties
Calculated formation energy (eV per atom): -0.30

Lattice parameters (Å, degrees): 8.804 8.804 3.398 90.00 90.00 120.00
Fractional positions:
La1 0.333 0.667 0.000
La2 0.667 0.333 0.000
Sc1 0.000 0.000 0.000
Cd1 0.000 0.324 0.500
Cd2 0.000 0.676 0.500
Cd3 0.324 0.000 0.500
Cd4 0.324 0.324 0.500
Cd5 0.676 0.000 0.500
Cd6 0.676 0.676 0.500

=====

Record 22
The following is a DFT calculation (PBE) of a relaxed La3ScCd2 crystal.

Properties
Calculated formation energy (eV per atom): -0.18

Lattice parameters (Å, degrees): 5.586 17.055 3.853 90.00 90.00 90.00
Fractional positions:
La1 0.000 0.000 0.000
La2 0.000 0.329 0.000
La3 0.000 0.671 0.000
La4 0.500 0.171 0.000
La5 0.500 0.500 0.000
La6 0.500 0.829 0.000
Sc1 0.000 0.500 0.500
Sc2 0.500 0.000 0.500
Cd1 0.000 0.159 0.500
Cd2 0.000 0.841 0.500
Cd3 0.500 0.341 0.500
Cd4 0.500 0.659 0.500

=====

Record 23
The following is a DFT calculation (PBE) of a relaxed La7Sc2Cd2 crystal.

Properties
Calculated formation energy (eV per atom): 0.18

Lattice parameters (Å, degrees): 6.903 6.903 9.244 90.00 90.00 120.57
Fractional positions:
La1 0.000 0.000 0.000
La2 0.000 0.500 0.316
La3 0.000 0.500 0.684
La4 0.500 0.000 0.316
La5 0.500 0.000 0.684
La6 0.500 0.500 0.214
La7 0.500 0.500 0.786
Sc1 0.277 0.723 0.000
Sc2 0.723 0.277 0.000
Cd1 0.204 0.204 0.500
Cd2 0.796 0.796 0.500

=====

Record 24
The following is a DFT calculation (PBE) of a relaxed LaSc5Cd6 crystal.

Properties
Calculated formation energy (eV per atom): -0.26

Lattice parameters (Å, degrees): 8.799 8.799 8.799 146.61 130.51 61.02
Fractional positions:
La1 0.000 0.000 0.000
Sc1 0.160 0.660 0.500
Sc2 0.330 0.330 0.000
Sc3 0.500 0.000 0.500
Sc4 0.670 0.670 0.000
Sc5 0.840 0.340 0.500
Cd1 0.092 0.826 0.267
Cd2 0.279 0.500 0.779
Cd3 0.441 0.174 0.267
Cd4 0.559 0.826 0.733
Cd5 0.721 0.500 0.221
Cd6 0.908 0.174 0.733

=====

Record 25
The following is a DFT calculation (PBE) of a relaxed LaSc3Cd crystal.

Properties
Energy above the most stable polymorph in this dataset (meV/atom): 508
Calculated formation energy (eV per atom): 0.86

Lattice parameters (Å, degrees): 5.211 5.211 5.211 90.00 90.00 90.00
Fractional positions:
La1 0.000 0.000 0.000
Sc1 0.000 0.000 0.500
Sc2 0.000 0.500 0.000
Sc3 0.500 0.000 0.000
Cd1 0.500 0.500 0.500